[1]
A plane-wave DFT calculation with meta-GGA SCAN was carried out for FeNiBiPd2 at its PBEsol-relaxed geometry.

a = 4.615 Å, b = 4.615 Å, c = 4.280 Å
α = 90.00°, β = 90.00°, γ = 90.00°
Sites, in units of the cell vectors:
Fe (0.000, 0.000, 0.000)
Ni (0.000, 0.000, 0.500)
Bi (0.500, 0.500, 0.500)
Pd (0.000, 0.500, 0.000)
Pd (0.500, 0.000, 0.000)

## Properties
Space-group type: P4/mmm (123)
Total magnetic moment: 0.90 μB per atom
E_tot: -35.1117 eV/atom
Formation enthalpy at 0 K: 277 kJ/mol of formula units

---

[2]
A plane-wave DFT calculation with meta-GGA SCAN was carried out for FeNiBiSe2 at its PBEsol-relaxed geometry.

a = 5.485 Å, b = 5.485 Å, c = 4.853 Å
α = 90.00°, β = 90.00°, γ = 90.00°
Sites, in units of the cell vectors:
Fe (0.000, 0.000, 0.000)
Ni (0.500, 0.500, 0.000)
Bi (0.000, 0.000, 0.500)
Se (0.000, 0.500, 0.500)
Se (0.500, 0.000, 0.500)

## Properties
Space-group type: P4/mmm (123)
Energy relative to the elements, uncorrected: 1.4172 eV per atom
Total magnetic moment: 0.96 μB per atom
E_tot: -29.1906 eV/atom

---

[3]
A plane-wave DFT calculation with meta-GGA SCAN was carried out for FeBiO2 at its PBEsol-relaxed geometry.

a = 5.123 Å, b = 5.123 Å, c = 9.384 Å
α = 90.00°, β = 90.00°, γ = 90.00°
Sites, in units of the cell vectors:
Fe (0.000, 0.000, 0.000)
Fe (0.000, 0.500, 0.250)
Fe (0.500, 0.000, 0.750)
Fe (0.500, 0.500, 0.500)
Bi (0.000, 0.000, 0.500)
Bi (0.000, 0.500, 0.750)
Bi (0.500, 0.000, 0.250)
Bi (0.500, 0.500, 0.000)
O (0.158, 0.750, 0.125)
O (0.250, 0.158, 0.875)
O (0.250, 0.342, 0.375)
O (0.342, 0.750, 0.625)
O (0.658, 0.250, 0.625)
O (0.750, 0.658, 0.375)
O (0.750, 0.842, 0.875)
O (0.842, 0.250, 0.125)

## Properties
Space-group type: I-42d (122)
Energy relative to the elements, uncorrected: -0.8364 eV per atom
Total magnetic moment: 1.08 μB per atom
E_tot: -28.1293 eV/atom